[1]
Sc4AuN3 | PBE | relaxed

Properties
Magnetic moment in μB per cell: 0.2

Structure (CIF):
```
data_Sc4AuN3
_chemical_formula_sum 'Sc8 Au2 N6'
_space_group_name_H-M_alt 'P 63/m m c'
_space_group_IT_number 194
_space_group_name_Hall '-P 6c 2c'
_cell_length_a 3.2015
_cell_length_b 3.2015
_cell_length_c 24.4391
_cell_angle_alpha 90.00
_cell_angle_beta 90.00
_cell_angle_gamma 120.00
loop_
_atom_site_label
_atom_site_type_symbol
_atom_site_fract_x
_atom_site_fract_y
_atom_site_fract_z
Sc1 Sc 0.0000 0.0000 0.1560
Sc2 Sc 0.3333 0.6667 0.0518
Au1 Au 0.3333 0.6667 0.2500
N1 N 0.0000 0.0000 0.0000
N2 N 0.3333 0.6667 0.6082
```

---

[2]
Sc2AuN | PBE | relaxed

Properties
Magnetic moment in μB per cell: 0.0

Structure (CIF):
```
data_Sc2AuN
_chemical_formula_sum 'Sc24 Au12 N12'
_space_group_name_H-M_alt 'C 1 2/c 1'
_space_group_IT_number 15
_cell_length_a 9.6945
_cell_length_b 5.5973
_cell_length_c 14.4048
_cell_angle_alpha 90.00
_cell_angle_beta 102.97
_cell_angle_gamma 90.00
loop_
_space_group_symop_operation_xyz
'x,y,z'
'-x,-y,-z'
'-x,y,-z+1/2'
'x,-y,z+1/2'
'x+1/2,y+1/2,z'
'-x+1/2,-y+1/2,-z'
'-x+1/2,y+1/2,-z+1/2'
'x+1/2,-y+1/2,z+1/2'
loop_
_atom_site_label
_atom_site_type_symbol
_atom_site_fract_x
_atom_site_fract_y
_atom_site_fract_z
Sc1 Sc 0.0536 0.0834 0.4110
Sc2 Sc 0.1129 0.4164 0.5888
Sc3 Sc 0.2204 0.4165 0.9112
Au1 Au 0.0000 0.4172 0.2500
Au2 Au 0.1672 0.0831 0.7500
N1 N 0.0833 0.2499 0.0000
N2 N 0.2500 0.2500 0.5000
```

---

[3]
Sc2AuN | PBE | relaxed

Properties
Magnetic moment in μB per cell: 0.0

Structure (CIF):
```
data_Sc2AuN
_chemical_formula_sum 'Sc4 Au2 N2'
_space_group_name_H-M_alt 'P 63/m m c'
_space_group_IT_number 194
_space_group_name_Hall '-P 6c 2c'
_cell_length_a 3.2325
_cell_length_b 3.2325
_cell_length_c 14.0142
_cell_angle_alpha 90.00
_cell_angle_beta 90.00
_cell_angle_gamma 120.00
loop_
_atom_site_label
_atom_site_type_symbol
_atom_site_fract_x
_atom_site_fract_y
_atom_site_fract_z
Sc1 Sc 0.3333 0.6667 0.0889
Au1 Au 0.3333 0.6667 0.7500
N1 N 0.0000 0.0000 0.0000
```

---

[4]
Sc4SnAuN2 | PBE | relaxed

Properties
Magnetic moment in μB per cell: 0.0

Structure (CIF):
```
data_Sc4SnAuN2
_chemical_formula_sum 'Sc4 Sn1 Au1 N2'
_space_group_name_H-M_alt 'P -6 m 2'
_space_group_IT_number 187
_space_group_name_Hall 'P -6 2'
_cell_length_a 3.2702
_cell_length_b 3.2702
_cell_length_c 14.1883
_cell_angle_alpha 90.00
_cell_angle_beta 90.00
_cell_angle_gamma 120.00
loop_
_atom_site_label
_atom_site_type_symbol
_atom_site_fract_x
_atom_site_fract_y
_atom_site_fract_z
Sc1 Sc 0.0000 0.0000 0.1562
Sc2 Sc 0.6667 0.3333 0.3279
Sn1 Sn 0.0000 0.0000 0.5000
Au1 Au 0.6667 0.3333 0.0000
N1 N 0.3333 0.6667 0.2470
```

---

[5]
Sc2Ta4Au3N3 | PBE | relaxed

Properties
Magnetic moment in μB per cell: 0.0

Structure (CIF):
```
data_Sc2Ta4Au3N3
_chemical_formula_sum 'Sc8 Ta16 Au12 N12'
_space_group_name_H-M_alt 'C 1 2/c 1'
_space_group_IT_number 15
_cell_length_a 9.6198
_cell_length_b 5.5604
_cell_length_c 13.9209
_cell_angle_alpha 90.00
_cell_angle_beta 103.36
_cell_angle_gamma 90.00
loop_
_space_group_symop_operation_xyz
'x,y,z'
'-x,-y,-z'
'-x,y,-z+1/2'
'x,-y,z+1/2'
'x+1/2,y+1/2,z'
'-x+1/2,-y+1/2,-z'
'-x+1/2,y+1/2,-z+1/2'
'x+1/2,-y+1/2,z+1/2'
loop_
_atom_site_label
_atom_site_type_symbol
_atom_site_fract_x
_atom_site_fract_y
_atom_site_fract_z
Sc1 Sc 0.0445 0.0801 0.3939
Ta1 Ta 0.1085 0.4133 0.5786
Ta2 Ta 0.2261 0.4172 0.9214
Au1 Au 0.0000 0.4838 0.2500
Au2 Au 0.2005 0.1174 0.7511
N1 N 0.0791 0.2367 0.0000
N2 N 0.2500 0.2500 0.5000
```

---

[6]
Sc4W2Au3N3 | PBE | relaxed

Properties
Magnetic moment in μB per cell: 0.0

Structure (CIF):
```
data_Sc4W2Au3N3
_chemical_formula_sum 'Sc16 W8 Au12 N12'
_space_group_name_H-M_alt 'C 1 2/c 1'
_space_group_IT_number 15
_cell_length_a 9.5418
_cell_length_b 5.5713
_cell_length_c 14.0054
_cell_angle_alpha 90.00
_cell_angle_beta 103.20
_cell_angle_gamma 90.00
loop_
_space_group_symop_operation_xyz
'x,y,z'
'-x,-y,-z'
'-x,y,-z+1/2'
'x,-y,z+1/2'
'x+1/2,y+1/2,z'
'-x+1/2,-y+1/2,-z'
'-x+1/2,y+1/2,-z+1/2'
'x+1/2,-y+1/2,z+1/2'
loop_
_atom_site_label
_atom_site_type_symbol
_atom_site_fract_x
_atom_site_fract_y
_atom_site_fract_z
Sc1 Sc 0.1147 0.0784 0.0954
Sc2 Sc 0.2167 0.0880 0.4045
W1 W 0.0613 0.4168 0.9309
Au1 Au 0.0000 0.1233 0.7500
Au2 Au 0.1480 0.4340 0.2494
N1 N 0.0850 0.2423 0.4997
N2 N 0.2500 0.2500 0.0000
```

---

[7]
Sc2W4Au3N3 | PBE | relaxed

Properties
Magnetic moment in μB per cell: 0.0

Structure (CIF):
```
data_Sc2W4Au3N3
_chemical_formula_sum 'Sc8 W16 Au12 N12'
_space_group_name_H-M_alt 'C 1 2/c 1'
_space_group_IT_number 15
_cell_length_a 9.5668
_cell_length_b 5.5874
_cell_length_c 13.4303
_cell_angle_alpha 90.00
_cell_angle_beta 103.50
_cell_angle_gamma 90.00
loop_
_space_group_symop_operation_xyz
'x,y,z'
'-x,-y,-z'
'-x,y,-z+1/2'
'x,-y,z+1/2'
'x+1/2,y+1/2,z'
'-x+1/2,-y+1/2,-z'
'-x+1/2,y+1/2,-z+1/2'
'x+1/2,-y+1/2,z+1/2'
loop_
_atom_site_label
_atom_site_type_symbol
_atom_site_fract_x
_atom_site_fract_y
_atom_site_fract_z
Sc1 Sc 0.0445 0.0802 0.3911
W1 W 0.1092 0.4277 0.5729
W2 W 0.2199 0.4138 0.9270
Au1 Au 0.0000 0.4912 0.2500
Au2 Au 0.2061 0.1266 0.7484
N1 N 0.0743 0.2241 0.0002
N2 N 0.2500 0.2500 0.5000
```

---

[8]
Sc4ZnAuN2 | PBE | relaxed

Properties
Magnetic moment in μB per cell: 0.3

Structure (CIF):
```
data_Sc4ZnAuN2
_chemical_formula_sum 'Sc4 Zn1 Au1 N2'
_space_group_name_H-M_alt 'P -6 m 2'
_space_group_IT_number 187
_space_group_name_Hall 'P -6 2'
_cell_length_a 3.2146
_cell_length_b 3.2146
_cell_length_c 14.1557
_cell_angle_alpha 90.00
_cell_angle_beta 90.00
_cell_angle_gamma 120.00
loop_
_atom_site_label
_atom_site_type_symbol
_atom_site_fract_x
_atom_site_fract_y
_atom_site_fract_z
Sc1 Sc 0.0000 0.0000 0.1603
Sc2 Sc 0.6667 0.3333 0.3361
Zn1 Zn 0.0000 0.0000 0.5000
Au1 Au 0.6667 0.3333 0.0000
N1 N 0.3333 0.6667 0.2498
```

---

Respective final energy values: -132.3, -349.2, -58.2, -59.3, -420.1, -385.6, -418.3, -55.4 eV/cell.